# Dy2Ag2Hg (PBE-GGA, optimized geometry)
data_Dy2Ag2Hg
_chemical_formula_sum 'Dy4 Ag4 Hg2'
_cell_length_a 3.6925
_cell_length_b 3.7341
_cell_length_c 16.8350
_cell_angle_alpha 90.00
_cell_angle_beta 90.00
_cell_angle_gamma 90.00
_symmetry_space_group_name_H-M 'I m m m'
_symmetry_Int_Tables_number 71
_symmetry_space_group_name_Hall '-I 2 2'
loop_
_atom_site_label
_atom_site_fract_x
_atom_site_fract_y
_atom_site_fract_z
Dy1 0.0000 0.0000 0.1101
Ag1 0.0000 0.0000 0.2925
Hg1 0.0000 0.0000 0.5000
# ΔH_f (0 K), eV/f.u.: -1.90

# Dy2AgHg5 (PBE-GGA, optimized geometry)
data_Dy2AgHg5
_chemical_formula_sum 'Dy4 Ag2 Hg10'
_cell_length_a 5.1662
_cell_length_b 5.1662
_cell_length_c 14.1845
_cell_angle_alpha 90.00
_cell_angle_beta 90.00
_cell_angle_gamma 90.00
_symmetry_space_group_name_H-M 'I 4/m m m'
_symmetry_Int_Tables_number 139
_symmetry_space_group_name_Hall '-I 4 2'
loop_
_atom_site_label
_atom_site_fract_x
_atom_site_fract_y
_atom_site_fract_z
Dy1 0.0000 0.0000 0.2483
Ag1 0.0000 0.0000 0.5000
Hg1 0.0000 0.0000 0.0000
Hg2 0.0000 0.5000 0.1202
# Energy relative to the lowest polymorph listed for this composition, meV per atom: 0
# ΔH_f (0 K), eV/f.u.: -1.86

# Dy4Ag3Hg2 (PBE-GGA, optimized geometry)
data_Dy4Ag3Hg2
_chemical_formula_sum 'Dy8 Ag6 Hg4'
_cell_length_a 9.6098
_cell_length_b 4.9280
_cell_length_c 9.2836
_cell_angle_alpha 90.00
_cell_angle_beta 99.68
_cell_angle_gamma 90.00
_symmetry_space_group_name_H-M 'C 1 2/m 1'
_symmetry_Int_Tables_number 12
_symmetry_space_group_name_Hall '-C 2y'
loop_
_atom_site_label
_atom_site_fract_x
_atom_site_fract_y
_atom_site_fract_z
Dy1 0.0485 0.0000 0.3346
Dy2 0.1492 0.5000 0.8946
Ag1 0.0000 0.0000 0.0000
Ag2 0.1431 0.5000 0.5573
Hg1 0.2193 0.5000 0.2475
# ΔH_f (0 K), eV/f.u.: -2.76

# Dy4Ag2Hg (PBE-GGA, optimized geometry)
data_Dy4Ag2Hg
_chemical_formula_sum 'Dy12 Ag6 Hg3'
_cell_length_a 4.9262
_cell_length_b 4.9262
_cell_length_c 28.6322
_cell_angle_alpha 90.00
_cell_angle_beta 90.00
_cell_angle_gamma 120.00
_symmetry_space_group_name_H-M 'R -3 m'
_symmetry_Int_Tables_number 166
_symmetry_space_group_name_Hall '-R 3 2"'
loop_
_atom_site_label
_atom_site_fract_x
_atom_site_fract_y
_atom_site_fract_z
Dy1 0.0000 0.0000 0.1211
Dy2 0.0000 0.0000 0.2960
Ag1 0.0000 0.0000 0.4002
Hg1 0.0000 0.0000 0.5000
# Energy relative to the lowest polymorph listed for this composition, meV per atom: 144
# ΔH_f (0 K), eV/f.u.: -0.49

# Dy2AgHg2 (PBE-GGA, optimized geometry)
data_Dy2AgHg2
_chemical_formula_sum 'Dy4 Ag2 Hg4'
_cell_length_a 7.9383
_cell_length_b 7.9383
_cell_length_c 3.9858
_cell_angle_alpha 90.00
_cell_angle_beta 90.00
_cell_angle_gamma 90.00
_symmetry_space_group_name_H-M 'P 4/m b m'
_symmetry_Int_Tables_number 127
_symmetry_space_group_name_Hall '-P 4 2ab'
loop_
_atom_site_label
_atom_site_fract_x
_atom_site_fract_y
_atom_site_fract_z
Dy1 0.1655 0.3345 0.0000
Ag1 0.0000 0.0000 0.5000
Hg1 0.1361 0.6361 0.5000
# Energy relative to the lowest polymorph listed for this composition, meV per atom: 0
# ΔH_f (0 K), eV/f.u.: -1.72

# Dy3AgHg (PBE-GGA, optimized geometry)
data_Dy3AgHg
_chemical_formula_sum 'Dy6 Ag2 Hg2'
_cell_length_a 8.3792
_cell_length_b 3.6277
_cell_length_c 9.5964
_cell_angle_alpha 90.00
_cell_angle_beta 109.34
_cell_angle_gamma 90.00
_symmetry_space_group_name_H-M 'P 1 m 1'
_symmetry_Int_Tables_number 6
_symmetry_space_group_name_Hall 'P -2y'
loop_
_atom_site_label
_atom_site_fract_x
_atom_site_fract_y
_atom_site_fract_z
Dy1 0.0000 0.0000 0.0000
Dy2 0.0111 0.0000 0.3791
Dy3 0.3908 0.5000 0.9555
Dy4 0.4474 0.0000 0.6070
Dy5 0.5633 0.0000 0.2953
Dy6 0.8231 0.5000 0.6068
Ag1 0.6864 0.5000 0.8490
Ag2 0.7771 0.5000 0.1582
Hg1 0.1441 0.0000 0.7258
Hg2 0.2486 0.5000 0.2581
# Energy relative to the lowest polymorph listed for this composition, meV per atom: 96
# ΔH_f (0 K), eV/f.u.: -1.02

# Dy2AgHg3 (PBE-GGA, optimized geometry)
data_Dy2AgHg3
_chemical_formula_sum 'Dy16 Ag8 Hg24'
_cell_length_a 6.7937
_cell_length_b 9.8022
_cell_length_c 17.0317
_cell_angle_alpha 90.00
_cell_angle_beta 90.00
_cell_angle_gamma 90.00
_symmetry_space_group_name_H-M 'F m m m'
_symmetry_Int_Tables_number 69
_symmetry_space_group_name_Hall '-F 2 2'
loop_
_atom_site_label
_atom_site_fract_x
_atom_site_fract_y
_atom_site_fract_z
Dy1 0.2489 0.0000 0.0000
Dy2 0.2500 0.2500 0.2500
Ag1 0.0000 0.0000 0.1672
Hg1 0.0000 0.0000 0.3313
Hg2 0.0000 0.2460 0.0845
# ΔH_f (0 K), eV/f.u.: -2.23

# DyAg3Hg2 (PBE-GGA, optimized geometry)
data_DyAg3Hg2
_chemical_formula_sum 'Dy4 Ag12 Hg8'
_cell_length_a 15.4883
_cell_length_b 4.2333
_cell_length_c 9.3301
_cell_angle_alpha 90.00
_cell_angle_beta 122.98
_cell_angle_gamma 90.00
_symmetry_space_group_name_H-M 'C 1 2/m 1'
_symmetry_Int_Tables_number 12
_symmetry_space_group_name_Hall '-C 2y'
loop_
_atom_site_label
_atom_site_fract_x
_atom_site_fract_y
_atom_site_fract_z
Dy1 0.1078 0.0000 0.4693
Ag1 0.0732 0.0000 0.9387
Ag2 0.0799 0.5000 0.1818
Ag3 0.2493 0.5000 0.1039
Hg1 0.0753 0.5000 0.7145
Hg2 0.2332 0.0000 0.3087
# ΔH_f (0 K), eV/f.u.: -0.93

# Dy6AgHg8 (PBE-GGA, optimized geometry)
data_Dy6AgHg8
_chemical_formula_sum 'Dy18 Ag3 Hg24'
_cell_length_a 8.7065
_cell_length_b 8.7065
_cell_length_c 19.2013
_cell_angle_alpha 90.00
_cell_angle_beta 90.00
_cell_angle_gamma 120.00
_symmetry_space_group_name_H-M 'R -3'
_symmetry_Int_Tables_number 148
_symmetry_space_group_name_Hall '-R 3'
loop_
_atom_site_label
_atom_site_fract_x
_atom_site_fract_y
_atom_site_fract_z
Dy1 0.0017 0.6650 0.2252
Ag1 0.0000 0.0000 0.5000
Hg1 0.0000 0.0000 0.1678
Hg2 0.9996 0.3319 0.2809
# ΔH_f (0 K), eV/f.u.: -4.07

# Dy6AgHg3 (PBE-GGA, optimized geometry)
data_Dy6AgHg3
_chemical_formula_sum 'Dy12 Ag2 Hg6'
_cell_length_a 9.3506
_cell_length_b 5.1802
_cell_length_c 11.5849
_cell_angle_alpha 90.00
_cell_angle_beta 108.33
_cell_angle_gamma 90.00
_symmetry_space_group_name_H-M 'P 1 21/m 1'
_symmetry_Int_Tables_number 11
_symmetry_space_group_name_Hall '-P 2yb'
loop_
_atom_site_label
_atom_site_fract_x
_atom_site_fract_y
_atom_site_fract_z
Dy1 0.0236 0.2500 0.4011
Dy2 0.1561 0.7500 0.1860
Dy3 0.2474 0.2500 0.0076
Dy4 0.3609 0.7500 0.8344
Dy5 0.3778 0.2500 0.3435
Dy6 0.3799 0.2500 0.6251
Ag1 0.4367 0.7500 0.1178
Hg1 0.0315 0.7500 0.8831
Hg2 0.1264 0.2500 0.7257
Hg3 0.2753 0.7500 0.4742
# ΔH_f (0 K), eV/f.u.: -3.08

# Dy5Ag2Hg (PBE-GGA, optimized geometry)
data_Dy5Ag2Hg
_chemical_formula_sum 'Dy20 Ag8 Hg4'
_cell_length_a 8.0868
_cell_length_b 8.0868
_cell_length_c 13.0432
_cell_angle_alpha 90.00
_cell_angle_beta 90.00
_cell_angle_gamma 90.00
_symmetry_space_group_name_H-M 'I 4/m c m'
_symmetry_Int_Tables_number 140
_symmetry_space_group_name_Hall '-I 4 2c'
loop_
_atom_site_label
_atom_site_fract_x
_atom_site_fract_y
_atom_site_fract_z
Dy1 0.0000 0.0000 0.0000
Dy2 0.1558 0.3442 0.1497
Ag1 0.1331 0.3669 0.5000
Hg1 0.0000 0.0000 0.2500
# ΔH_f (0 K), eV/f.u.: -1.88

What did we get for density? Answer: 10.61; 12.60; 10.54; 8.83; 11.03; 9.60; 12.12; 11.48; 10.62; 10.50; 9.57 g cm⁻³, in the order shown.